# TlMoSe3 PBE relaxed
# * E above lowest polymorph: 0 meV/atom
# * crystal system: monoclinic
# * ΔE_f (raw): -2.03 eV/f.u.
data_TlMoSe3
_chemical_formula_sum 'Tl4 Mo4 Se12'
_space_group_name_H-M_alt 'P 1'
_space_group_IT_number 1
_cell_length_a 6.431
_cell_length_b 15.064
_cell_length_c 8.194
_cell_angle_alpha 128.38
_cell_angle_beta 90.00
_cell_angle_gamma 90.00
loop_
_space_group_symop_operation_xyz
'x,y,z'
loop_
_atom_site_label
_atom_site_fract_x
_atom_site_fract_y
_atom_site_fract_z
Tl1 0.839 0.717 0.710
Tl2 0.161 0.283 0.290
Tl3 0.339 0.783 0.290
Tl4 0.661 0.217 0.710
Mo1 0.201 0.446 0.926
Mo2 0.799 0.554 0.074
Mo3 0.701 0.054 0.074
Mo4 0.299 0.946 0.926
Se1 0.993 0.525 0.789
Se2 0.007 0.475 0.211
Se3 0.493 0.975 0.211
Se4 0.507 0.025 0.789
Se5 0.485 0.543 0.868
Se6 0.515 0.457 0.132
Se7 0.985 0.957 0.132
Se8 0.015 0.043 0.868
Se9 0.186 0.253 0.651
Se10 0.814 0.747 0.349
Se11 0.686 0.247 0.349
Se12 0.314 0.753 0.651


# CdBiAs2 PBE relaxed
# * calculated formation energy: 0.086 eV/atom
# * E above lowest polymorph: 0 meV/atom
# * crystal system: trigonal
# * DOS at the Fermi energy: 2.09 states/eV/f.u.
data_CdBiAs2
_chemical_formula_sum 'Cd1 Bi1 As2'
_space_group_name_H-M_alt 'P 1'
_space_group_IT_number 1
_cell_length_a 4.254
_cell_length_b 4.254
_cell_length_c 7.099
_cell_angle_alpha 72.57
_cell_angle_beta 72.57
_cell_angle_gamma 60.00
loop_
_space_group_symop_operation_xyz
'x,y,z'
loop_
_atom_site_label
_atom_site_fract_x
_atom_site_fract_y
_atom_site_fract_z
Cd1 0.493 0.493 0.522
Bi1 0.666 0.666 0.002
As1 0.094 0.094 0.717
As2 0.247 0.247 0.258


# K2CaBr PBE relaxed
# * E above lowest polymorph: 353 meV/atom
# * crystal system: tetragonal
# * ΔE_f (raw): -1.51 eV/f.u.
# * DOS at the Fermi energy: 2.23 states/eV/f.u.
data_K2CaBr
_chemical_formula_sum 'K2 Ca1 Br1'
_space_group_name_H-M_alt 'P 1'
_space_group_IT_number 1
_cell_length_a 7.629
_cell_length_b 7.629
_cell_length_c 7.629
_cell_angle_alpha 139.24
_cell_angle_beta 139.24
_cell_angle_gamma 59.01
loop_
_space_group_symop_operation_xyz
'x,y,z'
loop_
_atom_site_label
_atom_site_fract_x
_atom_site_fract_y
_atom_site_fract_z
Br1 0.250 0.750 0.500
Ca1 0.750 0.250 0.500
K1 0.000 0.000 0.000
K2 0.500 0.500 0.000


# Sc3Ni2Ge3 PBE relaxed
# * calculated formation energy: -0.780 eV/atom
# * crystal system: orthorhombic
# * DOS at the Fermi energy: 3.59 states/eV/f.u.
data_Sc3Ni2Ge3
_chemical_formula_sum 'Sc12 Ni8 Ge12'
_space_group_name_H-M_alt 'P 1'
_space_group_IT_number 1
_cell_length_a 5.331
_cell_length_b 7.505
_cell_length_c 13.503
_cell_angle_alpha 90.00
_cell_angle_beta 90.00
_cell_angle_gamma 90.00
loop_
_space_group_symop_operation_xyz
'x,y,z'
loop_
_atom_site_label
_atom_site_fract_x
_atom_site_fract_y
_atom_site_fract_z
Sc1 0.127 0.464 0.389
Sc2 0.627 0.036 0.611
Sc3 0.873 0.536 0.889
Sc4 0.373 0.964 0.111
Sc5 0.873 0.536 0.611
Sc6 0.373 0.964 0.389
Sc7 0.127 0.464 0.111
Sc8 0.627 0.036 0.889
Sc9 0.628 0.320 0.250
Sc10 0.128 0.180 0.750
Sc11 0.372 0.680 0.750
Sc12 0.872 0.820 0.250
Ni1 0.881 0.089 0.395
Ni2 0.381 0.411 0.605
Ni3 0.119 0.911 0.895
Ni4 0.619 0.589 0.105
Ni5 0.119 0.911 0.605
Ni6 0.619 0.589 0.395
Ni7 0.881 0.089 0.105
Ni8 0.381 0.411 0.895
Ge1 0.117 0.178 0.250
Ge2 0.617 0.322 0.750
Ge3 0.883 0.822 0.750
Ge4 0.383 0.678 0.250
Ge5 0.609 0.302 0.460
Ge6 0.109 0.198 0.540
Ge7 0.391 0.698 0.960
Ge8 0.891 0.802 0.040
Ge9 0.391 0.698 0.540
Ge10 0.891 0.802 0.460
Ge11 0.609 0.302 0.040
Ge12 0.109 0.198 0.960


# Rb2Ho3F10 PBE relaxed
# * crystal system: monoclinic
# * ΔE_f (raw): -54.20 eV/f.u.
# * DOS at the Fermi energy: 0.80 states/eV/f.u.
data_Rb2Ho3F10
_chemical_formula_sum 'Rb4 Ho6 F20'
_space_group_name_H-M_alt 'P 1'
_space_group_IT_number 1
_cell_length_a 7.359
_cell_length_b 8.575
_cell_length_c 10.874
_cell_angle_alpha 111.09
_cell_angle_beta 109.78
_cell_angle_gamma 90.00
loop_
_space_group_symop_operation_xyz
'x,y,z'
loop_
_atom_site_label
_atom_site_fract_x
_atom_site_fract_y
_atom_site_fract_z
Rb1 0.714 0.366 0.428
Rb2 0.286 0.634 0.572
Rb3 0.606 0.664 0.211
Rb4 0.394 0.336 0.789
Ho1 0.919 0.542 0.838
Ho2 0.081 0.458 0.162
Ho3 0.812 0.983 0.623
Ho4 0.188 0.017 0.377
Ho5 0.739 0.000 0.000
Ho6 0.261 0.000 0.000
F1 0.701 0.972 0.781
F2 0.080 0.972 0.781
F3 0.299 0.028 0.219
F4 0.920 0.028 0.219
F5 0.634 0.528 0.702
F6 0.068 0.528 0.702
F7 0.366 0.472 0.298
F8 0.932 0.472 0.298
F9 0.979 0.826 0.959
F10 0.021 0.174 0.041
F11 0.861 0.264 0.722
F12 0.139 0.736 0.278
F13 0.749 0.726 0.498
F14 0.251 0.274 0.502
F15 0.543 0.922 0.087
F16 0.457 0.078 0.913
F17 0.818 0.500 0.000
F18 0.182 0.500 0.000
F19 0.500 0.000 0.500
F20 0.000 0.000 0.500